VASP calculation (PBE with a Hubbard U) on a relaxed GaCo2OF crystal.

The total magnetization is 4.00 μB/f.u. The value obtained for the electronic total energy is -4.49 eV per atom. As for the density: 4.79 g cm⁻³.

Lattice parameters (Å, degrees): 3.6520 3.6520 5.7852 90.00 90.00 90.00
Sites, in units of the cell vectors:
Ga 0.0000 0.0000 0.0000
Co 0.0000 0.5000 0.5000
Co 0.5000 0.0000 0.5000
O 0.5000 0.5000 0.5000
F 0.5000 0.5000 0.0000